No. 1
A relaxed structure of Lu2Sc4Co3N3, computed with PBE.

Summary:
**VASP energy**: -7.672 eV per atom
**Crystal system**: monoclinic

POSCAR file:
```
Lu2Sc4Co3N3
1.0
4.780 -2.756 0.000
4.780 2.756 0.000
-3.353 0.000 12.933
Co Lu N Sc
6 4 6 8
Direct
0.585 0.908 0.250 Co
0.080 0.920 0.250 Co
0.092 0.415 0.250 Co
0.908 0.585 0.750 Co
0.920 0.080 0.750 Co
0.415 0.092 0.750 Co
0.542 0.377 0.120 Lu
0.623 0.458 0.380 Lu
0.377 0.542 0.620 Lu
0.458 0.623 0.880 Lu
0.500 0.000 0.000 N
0.830 0.335 0.000 N
0.665 0.170 0.500 N
0.000 0.500 0.500 N
0.335 0.830 0.500 N
0.170 0.665 0.000 N
0.863 0.700 0.093 Sc
0.203 0.028 0.093 Sc
0.972 0.797 0.407 Sc
0.300 0.137 0.407 Sc
0.700 0.863 0.593 Sc
0.028 0.203 0.593 Sc
0.797 0.972 0.907 Sc
0.137 0.300 0.907 Sc
```

No. 2
A relaxed structure of PuGeAs, computed with PBE.

Summary:
**E above lowest polymorph**: 0 meV per atom
**VASP energy**: -8.044 eV per atom
**Crystal system**: cubic

POSCAR file:
```
PuGeAs
1.0
0.000 3.317 3.317
3.317 0.000 3.317
3.317 3.317 0.000
As Ge Pu
1 1 1
Direct
0.000 0.000 0.000 As
0.250 0.250 0.250 Ge
0.750 0.750 0.750 Pu
```

No. 3
A relaxed structure of YAlAgAu, computed with PBE.

Summary:
**E above lowest polymorph**: 133 meV per atom
**VASP energy**: -4.480 eV per atom
**Crystal system**: cubic

POSCAR file:
```
YAlAgAu
1.0
-2.165 0.444 4.304
-4.814 0.418 0.256
-2.654 -3.642 1.760
Ag Al Au Y
1 1 1 1
Direct
0.000 0.000 0.000 Ag
0.250 0.250 0.250 Al
0.750 0.750 0.750 Au
0.500 0.500 0.500 Y
```

No. 4
A relaxed structure of BiIr9, computed with PBE.

Summary:
**E above lowest polymorph**: 0 meV per atom
**VASP energy**: -8.272 eV per atom
**Crystal system**: orthorhombic

POSCAR file:
```
BiIr9
1.0
-1.451 -2.214 0.903
-0.555 -1.121 -3.640
34.424 -21.942 1.510
Bi Ir
2 18
Direct
0.000 0.000 0.174 Bi
0.500 0.500 0.826 Bi
0.500 0.500 0.216 Ir
0.000 0.000 0.250 Ir
0.500 0.500 0.283 Ir
0.000 0.000 0.316 Ir
0.500 0.500 0.350 Ir
0.000 0.000 0.383 Ir
0.500 0.500 0.416 Ir
0.000 0.000 0.450 Ir
0.500 0.500 0.483 Ir
0.000 0.000 0.517 Ir
0.500 0.500 0.550 Ir
0.000 0.000 0.584 Ir
0.500 0.500 0.617 Ir
0.000 0.000 0.650 Ir
0.500 0.500 0.684 Ir
0.000 0.000 0.717 Ir
0.500 0.500 0.750 Ir
0.000 0.000 0.784 Ir
```

No. 5
A relaxed structure of Na2Sc2AlSiPt2, computed with PBE.

Summary:
**VASP energy**: -5.134 eV per atom
**Crystal system**: tetragonal

POSCAR file:
```
Na2Sc2AlSiPt2
1.0
4.554 0.000 0.000
0.000 4.554 0.000
0.000 0.000 6.528
Al Na Pt Sc Si
1 2 2 2 1
Direct
0.000 0.000 0.000 Al
0.500 0.000 0.253 Na
0.000 0.500 0.747 Na
0.000 0.500 0.251 Pt
0.500 0.000 0.749 Pt
0.500 0.500 0.000 Sc
0.000 0.000 0.500 Sc
0.500 0.500 0.500 Si
```

No. 6
A relaxed structure of TbF3, computed with PBE.

Summary:
**VASP energy**: -6.554 eV per atom
**Crystal system**: tetragonal

POSCAR file:
```
TbF3
1.0
-3.361 -2.571 3.318
2.667 -4.590 -0.854
5.491 1.884 7.022
F Tb
12 4
Direct
0.184 0.184 0.000 F
0.816 0.816 0.000 F
0.717 0.283 0.161 F
0.283 0.717 0.161 F
0.217 0.217 0.339 F
0.783 0.783 0.339 F
0.684 0.316 0.500 F
0.316 0.684 0.500 F
0.217 0.217 0.661 F
0.783 0.783 0.661 F
0.717 0.283 0.839 F
0.283 0.717 0.839 F
0.000 0.000 0.188 Tb
0.500 0.500 0.312 Tb
0.500 0.500 0.688 Tb
0.000 0.000 0.812 Tb
```

No. 7
A relaxed structure of In10FeTe10, computed with PBE.

Summary:
**VASP energy**: -3.347 eV per atom
**Crystal system**: orthorhombic

POSCAR file:
```
In10FeTe10
1.0
8.424 0.000 0.000
0.000 12.837 0.000
0.000 0.000 13.013
Fe In Te
2 20 20
Direct
0.500 0.500 0.000 Fe
0.500 0.000 0.500 Fe
0.291 0.000 0.000 In
0.709 0.000 0.000 In
0.261 0.392 0.077 In
0.739 0.392 0.077 In
0.500 0.643 0.141 In
0.000 0.642 0.231 In
0.000 0.142 0.269 In
0.500 0.143 0.359 In
0.261 0.892 0.423 In
0.739 0.892 0.423 In
0.291 0.500 0.500 In
0.709 0.500 0.500 In
0.261 0.108 0.577 In
0.739 0.108 0.577 In
0.500 0.857 0.641 In
0.000 0.858 0.731 In
0.000 0.358 0.769 In
0.500 0.357 0.859 In
0.261 0.608 0.923 In
0.739 0.608 0.923 In
0.000 0.724 0.034 Te
0.500 0.877 0.140 Te
0.289 0.172 0.167 Te
0.711 0.172 0.167 Te
0.000 0.424 0.229 Te
0.000 0.924 0.271 Te
0.289 0.672 0.333 Te
0.711 0.672 0.333 Te
0.500 0.377 0.360 Te
0.000 0.224 0.466 Te
0.000 0.776 0.534 Te
0.500 0.623 0.640 Te
0.289 0.328 0.667 Te
0.711 0.328 0.667 Te
0.000 0.076 0.729 Te
0.000 0.576 0.771 Te
0.289 0.828 0.833 Te
0.711 0.828 0.833 Te
0.500 0.123 0.860 Te
0.000 0.276 0.966 Te
```

No. 8
A relaxed structure of Zr2Bi2OsPt, computed with PBE.

Summary:
**VASP energy**: -7.580 eV per atom
**Crystal system**: tetragonal

POSCAR file:
```
Zr2Bi2OsPt
1.0
-1.170 2.286 -5.976
-6.121 -2.170 0.368
-5.505 5.734 -0.269
Bi Os Pt Zr
4 2 2 4
Direct
0.125 0.630 0.250 Bi
0.625 0.120 0.250 Bi
0.880 0.875 0.750 Bi
0.370 0.375 0.750 Bi
0.000 0.000 0.000 Os
0.250 0.750 0.500 Os
0.500 0.500 0.000 Pt
0.750 0.250 0.500 Pt
0.625 0.630 0.250 Zr
0.125 0.120 0.250 Zr
0.880 0.375 0.750 Zr
0.370 0.875 0.750 Zr
```

no.,V (Å³ per atom)
1,14.2
2,24.3
3,20.0
4,22.0
5,16.9
6,16.5
7,33.5
8,22.9